VASP calculation (PBE-GGA) on crystalline BaCu2PAu2 at its relaxed geometry.

extended XYZ file:
```
6
Lattice="4.489 0.000 0.000 0.000 4.489 0.000 0.000 0.000 6.297" Properties=species:S:1:pos:R:3 pbc="T T T"
Ba 0.000 0.000 3.149
Cu 2.244 0.000 0.000
Cu 0.000 2.244 0.000
P 0.000 0.000 0.000
Au 2.244 2.244 4.588
Au 2.244 2.244 1.710
```

Results
**N(E_F)**: 1.8 states/eV/cell
**Symmetry**: P4/mmm
**E_form**: -327.2 meV per atom
**Energy**: -24.0 eV for the cell shown